A plane-wave DFT calculation with PBE-GGA was carried out for a relaxed Pu2BePd6 crystal.

Calculated values
Calculated total energy in eV/atom: -7.5987
SG: P-3m1 (164)
Total magnetic moment in μB/f.u.: 10.1

```
Pu2BePd6
1.0
-0.633 2.044 4.941
-3.241 -4.562 1.469
2.489 -4.707 2.264
Pu Pd Be
2 6 1
direct
0.198 0.333 0.333
0.802 0.667 0.667
0.287 0.338 0.831
0.287 0.831 0.338
0.713 0.662 0.169
0.287 0.831 0.831
0.713 0.169 0.169
0.713 0.169 0.662
0.000 0.000 0.000
```